# LaDy2F

A relaxed LaDy2F crystal (GGA-PBE, Alexandria via LeMat-Bulk).

Results
energy relative to the elements, uncorrected: -0.92 eV/atom
N(E_F): 1.350 states/eV per atom

Cell lengths 3.6286, 3.6286, 28.5169 Å; angles 90.00, 90.00, 120.00 degrees
Closest atoms and distances in Å follow each position.
Space group R-3m (No. 166, hexagonal axes)
One atom of each set of equivalent atoms:
La1 0.0000 0.0000 0.0000 [3 per cell]  2 Dy 3.40, 6 La 3.63
Dy1 0.0000 0.0000 0.1192 [6 per cell]  3 F 2.49
F1 0.0000 0.0000 0.5000 [3 per cell]  6 Dy 2.49